A plane-wave DFT calculation with GGA+U was carried out for an optimized crystal structure of KFeAs2O8.

total DFT energy (no corrections) = -5.7242 eV/atom

Cell: 5.1007 5.1007 26.1145 Å, 90.00 90.00 120.00°
Space group R32 (No. 155, hexagonal axes)
Unique sites:
K  0.0000  0.0000  0.0000
Fe  0.0000  0.0000  0.5000
As  0.0000  0.0000  0.2359
O  0.0000  0.0000  0.3006
O  0.0045  0.3705  0.1192